Entry 1:
NaHPt2Rh: relaxed, PBE-GGA.

Its crystal system is tetragonal. The total magnetization is 0.00 μB/f.u. The total energy comes out at -4.79 eV per atom. The value obtained for the calculated density is 13.09 g/cm³.

The space group is P4/mmm (No. 123) and the conventional cell measures 4.049, 4.049 and 4.000 Å, with angles of 90.00, 90.00 and 90.00 degrees. The inequivalent atoms are Na at (0.000, 0.000, 0.000), H at (0.500, 0.500, 0.500), Pt at (0.000, 0.500, 0.500) and Rh at (0.500, 0.500, 0.000).

Entry 2:
NaHPtRh2: relaxed, PBE-GGA.

Its crystal system is tetragonal. The total magnetization is 0.00 μB/f.u. The total energy comes out at -5.00 eV per atom. The value obtained for the calculated density is 11.19 g/cm³.

The space group is P4/mmm (No. 123) and the conventional cell measures 3.911, 3.911 and 4.120 Å, with angles of 90.00, 90.00 and 90.00 degrees. The inequivalent atoms are Na at (0.000, 0.000, 0.000), H at (0.000, 0.000, 0.500), Pt at (0.500, 0.500, 0.000) and Rh at (0.000, 0.500, 0.500).

Entry 3:
NaSr2HPt: relaxed, PBE-GGA.

Its crystal system is tetragonal. The total magnetization is 0.00 μB/f.u. The total energy comes out at -3.18 eV per atom. The value obtained for the calculated density is 5.67 g/cm³.

The space group is P4/mmm (No. 123) and the conventional cell measures 5.158, 5.158 and 4.342 Å, with angles of 90.00, 90.00 and 90.00 degrees. The inequivalent atoms are Na at (0.000, 0.000, 0.000), Sr at (0.000, 0.500, 0.500), H at (0.000, 0.000, 0.500) and Pt at (0.500, 0.500, 0.000).

Entry 4:
Na2SrHPt: relaxed, PBE-GGA.

Its crystal system is tetragonal. The total magnetization is 0.00 μB/f.u. The total energy comes out at -3.02 eV per atom. The value obtained for the calculated density is 5.29 g/cm³.

The space group is P4/mmm (No. 123) and the conventional cell measures 4.445, 4.445 and 5.234 Å, with angles of 90.00, 90.00 and 90.00 degrees. The inequivalent atoms are Na at (0.000, 0.500, 0.000), Sr at (0.000, 0.000, 0.500), H at (0.000, 0.000, 0.000) and Pt at (0.500, 0.500, 0.500).

Entry 5:
NaSrH6Pt2: relaxed, PBE-GGA.

Its crystal system is monoclinic. The total magnetization is 0.00 μB/f.u. The total energy comes out at -3.88 eV per atom. The value obtained for the calculated density is 7.57 g/cm³.

The space group is C2/c (No. 15) and the conventional cell measures 9.997, 9.487 and 4.689 Å, with angles of 90.00, 90.27 and 90.00 degrees. The inequivalent atoms are Na at (0.000, 0.103, 0.250), Sr at (0.000, 0.364, 0.750), H at (0.083, 0.341, 0.250), H at (0.090, 0.127, 0.747), H at (0.241, 0.500, 0.002) and Pt at (0.245, 0.359, 0.252).

Entry 6:
Na2TlHPt: relaxed, PBE-GGA.

Its crystal system is tetragonal. The total magnetization is 0.00 μB/f.u. The total energy comes out at -3.03 eV per atom. The value obtained for the calculated density is 8.08 g/cm³.

The space group is P4/mmm (No. 123) and the conventional cell measures 5.042, 5.042 and 3.611 Å, with angles of 90.00, 90.00 and 90.00 degrees. The inequivalent atoms are Na at (0.000, 0.500, 0.000), Tl at (0.000, 0.000, 0.500), H at (0.500, 0.500, 0.000) and Pt at (0.500, 0.500, 0.500).